Entry 1:
Entry from the Alexandria database: ZrTi2Ge2 at its PBEsol-relaxed geometry (SCAN).

Output
The energy relative to the elements is -0.746 eV/atom. As for the space group: P4/mbm (127).

Lattice parameters (Å, degrees): 3.4021 6.9995 6.9995 90.00 90.00 90.00
Closest atoms and distances in Å follow each position.
Fractional positions:
Ge  0.0000  0.8707  0.6293  1 Ge 2.56, 6 Ti 2.62-2.71, 2 Zr 2.75
Ge  0.0000  0.3707  0.8707  1 Ge 2.56, 6 Ti 2.62-2.71, 2 Zr 2.75
Ge  0.0000  0.6293  0.1293  1 Ge 2.56, 6 Ti 2.62-2.71, 2 Zr 2.75
Ge  0.0000  0.1293  0.3707  1 Ge 2.56, 6 Ti 2.62-2.71, 2 Zr 2.75
Ti  0.5000  0.8305  0.3305  6 Ge 2.62-2.71
Ti  0.5000  0.6695  0.8305  6 Ge 2.62-2.71
Ti  0.5000  0.1695  0.6695  6 Ge 2.62-2.71
Ti  0.5000  0.3305  0.1695  6 Ge 2.62-2.71
Zr  0.0000  0.0000  0.0000  4 Ge 2.75
Zr  0.0000  0.5000  0.5000  4 Ge 2.75

***

Entry 2:
Entry from the Alexandria database: ZrTiGe2 at its PBEsol-relaxed geometry (SCAN).

Output
The energy relative to the elements is -0.376 eV/atom. As for the space group: Fm-3m (225).

Lattice parameters (Å, degrees): 4.5935 4.5935 4.5935 60.00 60.00 60.00
Closest atoms and distances in Å follow each position.
Fractional positions:
Ge  0.2500  0.2500  0.2500  4 Zr 2.81, 4 Ti 2.81
Ge  0.7500  0.7500  0.7500  4 Ti 2.81, 4 Zr 2.81
Ti  0.0000  0.0000  0.0000  8 Ge 2.81
Zr  0.5000  0.5000  0.5000  8 Ge 2.81

***

Summary of energy in Ry per atom
-1.53852; -1.58771
(order as listed above)